A geometry-optimized Zr2SnW structure, computed with PBE-GGA.

Lattice parameters (Å, degrees): 7.844 7.844 6.256 51.18 51.18 90.00
Sites, in units of the cell vectors:
1 W 0.750 0.250 0.500
2 Sn 0.250 0.750 0.500
3 Zr 0.375 0.341 0.750
4 Zr 0.659 0.125 0.250
5 Sn 0.500 0.500 0.000
6 Zr 0.875 0.909 0.750
7 Zr 0.091 0.625 0.250
8 W 0.000 0.000 0.000

Calculated values
Uncorrected energy ... -8.035 eV per atom
Fermi-level density of states ... 3.92 states/eV/f.u.
Energy of formation ... 478 meV/atom